{
  "formula": "LaVO4F",
  "functional": "GGA+U",
  "state": "relaxed",
  "energy_ev_per_cell": -103.0,
  "cell": [[-5.467, 0.778, 2.883], [0.744, -2.417, 5.693], [1.577, 5.736, 3.034]],
  "species": ["O", "O", "O", "O", "O", "O", "O", "O", "F", "F", "La", "La", "V", "V"],
  "frac_coords": [[0.442, 0.442, 0.753], [0.505, 0.860, 0.839], [0.140, 0.495, 0.161], [0.860, 0.505, 0.839], [0.682, 0.682, 0.455], [0.558, 0.558, 0.247], [0.495, 0.140, 0.161], [0.318, 0.318, 0.545], [0.023, 0.023, 0.192], [0.977, 0.977, 0.808], [0.194, 0.194, 0.907], [0.806, 0.806, 0.093], [0.380, 0.380, 0.286], [0.620, 0.620, 0.714]]
}